# 1
# ZrAl2Ir

A geometry-optimized ZrAl2Ir structure (GGA-PBE, the Alexandria database).

## Properties
The calculated volume is 17.16 A^3/atom. As for the density of states at the Fermi level: 2.4 states/eV per cell. The value obtained for the uncorrected energy is -6.7353 eV per atom. For the energy of formation, the calculation gives -0.512 eV/atom. The value obtained for the magnetic moment is 0.000 μB per atom. For the theoretical density, the calculation gives 8.2 g cm⁻³.

Structure (CIF):
```
data_ZrAl2Ir
_chemical_formula_sum 'Zr1 Al2 Ir1'
_symmetry_space_group_name_H-M 'P 1'
_symmetry_Int_Tables_number 1
_cell_length_a 4.485
_cell_length_b 4.485
_cell_length_c 5.523
_cell_angle_alpha 99.45
_cell_angle_beta 99.45
_cell_angle_gamma 38.87
loop_
_symmetry_equiv_pos_as_xyz
'x,y,z'
loop_
_atom_site_label
_atom_site_type_symbol
_atom_site_fract_x
_atom_site_fract_y
_atom_site_fract_z
Zr1 Zr 0.000 0.000 0.000
Al1 Al 0.237 0.237 0.697
Al2 Al 0.763 0.763 0.303
Ir1 Ir 0.500 0.500 0.500
```

# 2
# ZrAl2Ir

A geometry-optimized ZrAl2Ir structure (GGA-PBE, the Alexandria database).

## Properties
The calculated volume is 16.40 A^3/atom. As for the density of states at the Fermi level: 2.9 states/eV per cell. The value obtained for the uncorrected energy is -6.9201 eV per atom. For the energy of formation, the calculation gives -0.697 eV/atom. The value obtained for the magnetic moment is 0.000 μB per atom. For the theoretical density, the calculation gives 8.5 g cm⁻³.

Structure (CIF):
```
data_ZrAl2Ir
_chemical_formula_sum 'Zr1 Al2 Ir1'
_symmetry_space_group_name_H-M 'P 1'
_symmetry_Int_Tables_number 1
_cell_length_a 3.015
_cell_length_b 3.015
_cell_length_c 7.217
_cell_angle_alpha 90.00
_cell_angle_beta 90.00
_cell_angle_gamma 90.00
loop_
_symmetry_equiv_pos_as_xyz
'x,y,z'
loop_
_atom_site_label
_atom_site_type_symbol
_atom_site_fract_x
_atom_site_fract_y
_atom_site_fract_z
Zr1 Zr 0.000 0.000 0.000
Al1 Al 0.500 0.500 0.290
Al2 Al 0.500 0.500 0.710
Ir1 Ir 0.000 0.000 0.500
```

# 3
# Zr2AlIr

A geometry-optimized Zr2AlIr structure (GGA-PBE, the Alexandria database).

## Properties
The calculated volume is 20.72 A^3/atom. As for the density of states at the Fermi level: 8.3 states/eV per cell. The value obtained for the uncorrected energy is -7.5790 eV per atom. For the energy of formation, the calculation gives -0.154 eV/atom. The value obtained for the magnetic moment is 0.000 μB per atom. For the theoretical density, the calculation gives 8.0 g cm⁻³.

Structure (CIF):
```
data_Zr2AlIr
_chemical_formula_sum 'Zr4 Al2 Ir2'
_symmetry_space_group_name_H-M 'P 1'
_symmetry_Int_Tables_number 1
_cell_length_a 6.103
_cell_length_b 6.103
_cell_length_c 6.103
_cell_angle_alpha 102.53
_cell_angle_beta 102.53
_cell_angle_gamma 124.48
loop_
_symmetry_equiv_pos_as_xyz
'x,y,z'
loop_
_atom_site_label
_atom_site_type_symbol
_atom_site_fract_x
_atom_site_fract_y
_atom_site_fract_z
Zr1 Zr 0.086 0.625 0.961
Zr2 Zr 0.375 0.336 0.461
Zr3 Zr 0.664 0.125 0.039
Zr4 Zr 0.875 0.914 0.539
Al1 Al 0.250 0.750 0.500
Al2 Al 0.500 0.500 0.000
Ir1 Ir 0.000 0.000 0.000
Ir2 Ir 0.750 0.250 0.500
```